[1]
Entry from the Alexandria database: a relaxed structure of LiAc2Be2O6 (PBE-GGA).

Cell and atoms, written as extended XYZ:
```
11
Lattice="4.868 -2.586 0.000 4.868 2.586 0.000 -3.010 0.000 5.538" Properties=species:S:1:pos:R:3 pbc="T T T"
Li 0.000 0.000 0.000
Ac -0.035 0.000 3.918
Ac 6.760 0.000 1.620
Be 3.627 0.000 1.444
Be 3.099 0.000 4.094
O 2.257 1.271 3.851
O 2.232 0.000 0.817
O 4.468 1.271 1.687
O 2.257 -1.271 3.851
O 4.493 0.000 4.721
O 4.468 -1.271 1.687
```

Properties
- energy relative to the elements, uncorrected (eV/f.u.) = -29.11
- E (eV/atom) = -6.949
- space group = No. 12


[2]
Entry from the Alexandria database: a relaxed structure of Be4AgGe2 (PBE-GGA).

Cell and atoms, written as extended XYZ:
```
7
Lattice="-2.156 2.156 6.108 2.156 -2.156 6.108 2.156 2.156 -6.108" Properties=species:S:1:pos:R:3 pbc="T T T"
Be 2.156 0.000 0.000
Be 0.000 0.000 2.268
Be 0.000 2.156 0.000
Be 0.000 0.000 9.948
Ag 0.000 0.000 0.000
Ge 0.000 0.000 4.521
Ge 0.000 0.000 7.695
```

Properties
- E (eV/atom) = -3.030
- calculated formation energy (meV/atom) = 825
- space group = No. 139


[3]
Entry from the Alexandria database: a relaxed structure of YHoSbO2 (PBE-GGA).

Cell and atoms, written as extended XYZ:
```
5
Lattice="-1.927 1.927 6.671 1.927 -1.927 6.671 1.927 1.927 -6.671" Properties=species:S:1:pos:R:3 pbc="T T T"
Y 0.000 0.000 0.000
Ho 0.000 0.000 8.908
Sb 0.000 0.000 4.458
O 1.927 0.000 1.141
O 0.000 1.927 1.141
```

Properties
- energy relative to the elements, uncorrected (eV/f.u.) = -13.52
- E (eV/atom) = -7.720
- space group = No. 107


[4]
Entry from the Alexandria database: a relaxed structure of PrH4Pd3 (PBE-GGA).

Cell and atoms, written as extended XYZ:
```
16
Lattice="5.605 0.000 0.000 0.000 5.605 0.000 0.000 0.000 5.605" Properties=species:S:1:pos:R:3 pbc="T T T"
Pr 0.000 0.000 0.000
Pr 2.803 2.803 2.803
H 1.401 1.401 1.401
H 1.401 1.401 4.204
H 1.401 4.204 1.401
H 1.401 4.204 4.204
H 4.204 1.401 1.401
H 4.204 1.401 4.204
H 4.204 4.204 1.401
H 4.204 4.204 4.204
Pd 0.000 1.401 2.803
Pd 0.000 4.204 2.803
Pd 1.401 2.803 0.000
Pd 2.803 0.000 1.401
Pd 2.803 0.000 4.204
Pd 4.204 2.803 0.000
```

Properties
- E (eV/atom) = -4.569
- space group = No. 223


[5]
Entry from the Alexandria database: a relaxed structure of K2BaMo (PBE-GGA).

Cell and atoms, written as extended XYZ:
```
4
Lattice="4.108 0.000 0.000 0.000 4.094 0.000 -0.054 0.000 11.739" Properties=species:S:1:pos:R:3 pbc="T T T"
K 0.000 0.000 0.000
K 1.990 2.047 3.839
Ba 4.054 0.000 7.577
Mo 1.998 2.047 9.399
```

Properties
- E (eV/atom) = -2.755
- ΔE to the lowest computed polymorph (eV/atom) = 0.000
- calculated formation energy (meV/atom) = 982
- space group = No. 6


[6]
Entry from the Alexandria database: a relaxed structure of Ac2PrErP4 (PBE-GGA).

Cell and atoms, written as extended XYZ:
```
8
Lattice="7.388 0.000 0.000 0.000 4.270 0.000 -2.460 0.000 6.984" Properties=species:S:1:pos:R:3 pbc="T T T"
Ac 0.000 0.000 0.000
Ac 3.694 2.135 0.000
Pr -1.230 2.135 3.492
Er 2.464 0.000 3.492
P 0.049 0.000 5.120
P 1.277 2.135 1.890
P 3.652 2.135 5.094
P 4.879 0.000 1.864
```

Properties
- E (eV/atom) = -6.370
- calculated formation energy (meV/atom) = -1470
- space group = No. 10


[7]
Entry from the Alexandria database: a relaxed structure of SbAsPb (PBE-GGA).

Cell and atoms, written as extended XYZ:
```
6
Lattice="4.368 0.000 0.000 0.000 4.368 0.000 0.000 0.000 9.015" Properties=species:S:1:pos:R:3 pbc="T T T"
Sb 1.092 1.092 0.170
Sb 3.276 3.276 8.845
As 1.092 1.092 2.887
As 3.276 3.276 6.128
Pb 1.092 1.092 5.927
Pb 3.276 3.276 3.087
```

Properties
- energy relative to the elements, uncorrected (eV/f.u.) = 0.13
- E (eV/atom) = -4.115
- ΔE to the lowest computed polymorph (eV/atom) = 0.000
- space group = No. 129


[8]
Entry from the Alexandria database: a relaxed structure of AlTcSeBr2 (PBE-GGA).

Cell and atoms, written as extended XYZ:
```
5
Lattice="5.034 0.000 0.000 0.000 5.034 0.000 0.000 0.000 5.063" Properties=species:S:1:pos:R:3 pbc="T T T"
Al 0.000 0.000 0.000
Tc 2.517 2.517 2.531
Se 0.000 0.000 2.531
Br 0.000 2.517 0.000
Br 2.517 0.000 0.000
```

Properties
- energy relative to the elements, uncorrected (eV/f.u.) = 2.23
- E (eV/atom) = -3.742
- ΔE to the lowest computed polymorph (eV/atom) = 0.266
- space group = No. 123


[9]
Entry from the Alexandria database: a relaxed structure of Hf2Al2Sn (PBE-GGA).

Cell and atoms, written as extended XYZ:
```
5
Lattice="-2.191 2.191 5.973 2.191 -2.191 5.973 2.191 2.191 -5.973" Properties=species:S:1:pos:R:3 pbc="T T T"
Hf 2.191 0.000 2.986
Hf 0.000 2.191 2.986
Al 0.000 0.000 1.223
Al 0.000 0.000 10.722
Sn 0.000 0.000 5.973
```

Properties
- E (eV/atom) = -6.058
- ΔE to the lowest computed polymorph (eV/atom) = 0.424
- calculated formation energy (meV/atom) = 221
- space group = No. 139


[10]
Entry from the Alexandria database: a relaxed structure of NaSrCaRh (PBE-GGA).

Cell and atoms, written as extended XYZ:
```
4
Lattice="0.000 3.770 3.770 3.770 0.000 3.770 3.770 3.770 0.000" Properties=species:S:1:pos:R:3 pbc="T T T"
Na 0.000 0.000 0.000
Sr 1.885 1.885 1.885
Ca 5.654 5.654 5.654
Rh 3.770 3.770 3.770
```

Properties
- E (eV/atom) = -3.162
- calculated formation energy (meV/atom) = -74
- space group = No. 216


[11]
Entry from the Alexandria database: a relaxed structure of Ca2CuSi4Ir3 (PBE-GGA).

Cell and atoms, written as extended XYZ:
```
10
Lattice="4.138 0.000 0.000 0.000 4.138 0.000 0.000 0.000 9.953" Properties=species:S:1:pos:R:3 pbc="T T T"
Ca 0.000 2.069 2.476
Ca 2.069 0.000 7.477
Cu 0.000 0.000 4.977
Si 0.000 0.000 0.000
Si 0.000 2.069 6.252
Si 2.069 0.000 3.702
Si 2.069 2.069 0.000
Ir 0.000 2.069 8.682
Ir 2.069 0.000 1.271
Ir 2.069 2.069 4.977
```

Properties
- energy relative to the elements, uncorrected (eV/f.u.) = -7.29
- E (eV/atom) = -6.366
- space group = No. 115


[12]
Entry from the Alexandria database: a relaxed structure of LiCa2HgPd (PBE-GGA).

Cell and atoms, written as extended XYZ:
```
5
Lattice="5.536 0.000 0.000 0.000 5.536 0.000 0.000 0.000 4.723" Properties=species:S:1:pos:R:3 pbc="T T T"
Li 0.000 0.000 0.000
Ca 0.000 2.768 2.361
Ca 2.768 0.000 2.361
Hg 2.768 2.768 0.000
Pd 0.000 0.000 2.361
```

Properties
- E (eV/atom) = -2.606
- calculated formation energy (meV/atom) = -323
- space group = No. 123


Across the entries above, magnetic moment takes the values 0.79 0.00 0.00 0.00 3.68 0.00 0.00 4.88 0.00 0.00 0.00 0.00 μB per formula unit, respectively.